This record from Alexandria via LeMat-Bulk describes a geometry-optimized EuCuBiPd structure. The functional is GGA-PBE.

abc: 4.969 4.969 4.969
angles: 60.00 60.00 60.00
Atoms (fractional coordinates):
Eu 0.000 0.000 0.000
Cu 0.250 0.250 0.250
Bi 0.500 0.500 0.500
Pd 0.750 0.750 0.750

Values from the calculation:
As for the symmetry: F-43m, No. 216. The energy of formation from the pure elements is -378.0 meV/atom.


This record from Alexandria via LeMat-Bulk describes a geometry-optimized EuPuCuBi structure. The functional is GGA-PBE.

abc: 5.375 5.375 5.375
angles: 60.00 60.00 60.00
Atoms (fractional coordinates):
Eu 0.000 0.000 0.000
Pu 0.500 0.500 0.500
Cu 0.750 0.750 0.750
Bi 0.250 0.250 0.250

Values from the calculation:
As for the symmetry: F-43m, No. 216. The energy of formation from the pure elements is -226.7 meV/atom.


This record from Alexandria via LeMat-Bulk describes a geometry-optimized CuBi2F structure. The functional is GGA-PBE.

abc: 8.804 8.804 8.804
angles: 148.07 148.07 45.79
Atoms (fractional coordinates):
Cu 0.000 0.000 0.000
Cu 0.750 0.250 0.500
Bi 0.156 0.625 0.031
Bi 0.375 0.406 0.531
Bi 0.594 0.125 0.969
Bi 0.875 0.844 0.469
F 0.250 0.750 0.500
F 0.500 0.500 0.000

Values from the calculation:
As for the symmetry: I-42d, No. 122. The calculation puts the energy above the most stable polymorph in this dataset at 179 meV per atom.


This record from Alexandria via LeMat-Bulk describes a geometry-optimized CuBiF structure. The functional is GGA-PBE.

abc: 11.398 3.329 3.329
angles: 60.16 90.00 90.00
Atoms (fractional coordinates):
Cu 0.000 0.000 0.000
Cu 0.500 0.218 0.218
Bi 0.185 0.341 0.341
Bi 0.815 0.341 0.341
F 0.388 0.936 0.936
F 0.612 0.936 0.936

Values from the calculation:
As for the symmetry: Amm2, No. 38. The calculation puts the energy above the most stable polymorph in this dataset at 200 meV per atom.


Result set for density: 10.16 10.11 8.74 8.83 g/cm³, one per record in the order listed.
Result set for total magnetization: 6.90 13.04 0.00 0.33 μB/cell, one per record in the order listed.